No. 1
Density functional theory data (PBE-GGA) for a relaxed structure of CuNi2W.

calculated total energy = -6.85 eV per atom
energy of formation from the pure elements = 0.30 eV per atom
mass density = 12018 kg/m³
energy relative to the lowest polymorph listed for this composition = 28.2 kJ per mole of atoms

Cell lengths 3.837, 3.837, 3.423 Å; angles 90.00, 90.00, 90.00 degrees
Element x y z (fractional)
Cu  0.000  0.000  0.000
Ni  0.000  0.500  0.500
Ni  0.500  0.000  0.500
W  0.500  0.500  0.000

---

No. 2
Density functional theory data (PBE-GGA) for a relaxed structure of Pm4TmRu.

calculated total energy = -5.51 eV per atom
energy of formation from the pure elements = -0.05 eV per atom
mass density = 7625 kg/m³

Cell lengths 9.449, 9.449, 9.449 Å; angles 142.50, 133.21, 61.44 degrees
Element x y z (fractional)
Pm  0.134  0.384  0.750
Pm  0.173  0.173  0.000
Pm  0.293  0.000  0.293
Pm  0.366  0.616  0.750
Pm  0.634  0.384  0.250
Pm  0.707  0.000  0.707
Pm  0.827  0.827  0.000
Pm  0.866  0.616  0.250
Tm  0.301  0.801  0.500
Tm  0.699  0.199  0.500
Ru  0.000  0.261  0.261
Ru  0.000  0.739  0.739

---

No. 3
Density functional theory data (PBE-GGA) for a relaxed structure of Ba2CaRh.

calculated total energy = -3.44 eV per atom
energy of formation from the pure elements = -0.14 eV per atom
mass density = 4045 kg/m³
energy relative to the lowest polymorph listed for this composition = 7.0 kJ per mole of atoms

Cell lengths 5.632, 5.632, 8.440 Å; angles 107.99, 107.99, 42.75 degrees
Element x y z (fractional)
Ba  0.000  0.000  0.000
Ba  0.153  0.153  0.575
Ca  0.343  0.343  0.289
Rh  0.628  0.628  0.289